Below is a geometry-optimized Cs3AgHg2 structure, with properties calculated at the GGA-PBE level.

N(E_F) = 13.674 states/eV per cell
E_form = -90 kJ/mol of formula units
electronic total energy = -1.1574 eV/atom

a = 15.1587 Å, b = 5.1995 Å, c = 15.3114 Å
α = 90.00°, β = 90.00°, γ = 90.00°
Last column: nearest neighbours and their distance in Å.
Space group Pnma (No. 62)
Unique sites:
Cs: 0.0612 0.2500 0.1260 [4 per cell]  1 Ag 3.91, 5 Hg 3.96-4.37
Cs: 0.1142 0.7500 0.5592 [4 per cell]  5 Hg 3.81-3.99, 3 Ag 3.89-3.90
Cs: 0.2026 0.2500 0.7955 [4 per cell]  2 Ag 3.78, 4 Hg 3.86-4.13
Ag: 0.1330 0.2500 0.3711 [4 per cell]  3 Hg 3.01-3.03
Hg: 0.0436 0.7500 0.3202 [4 per cell]  2 Ag 3.03
Hg: 0.2049 0.7500 0.9842 [4 per cell]  1 Ag 3.01



Below is a geometry-optimized Cs2Ag2Hg structure, with properties calculated at the GGA-PBE level.

N(E_F) = 7.284 states/eV per cell
E_form = 20 kJ/mol of formula units
electronic total energy = -1.5003 eV/atom

a = 4.0656 Å, b = 4.0656 Å, c = 23.2901 Å
α = 90.00°, β = 90.00°, γ = 90.00°
Last column: nearest neighbours and their distance in Å.
Space group I4/mmm (No. 139)
Unique sites:
Cs: 0.0000 0.0000 0.1162 [4 per cell]  4 Ag 3.72, 4 Hg 3.95, 4 Cs 4.07
Ag: 0.0000 0.5000 0.2500 [4 per cell]  4 Ag 2.87
Hg: 0.0000 0.0000 0.5000 [2 per cell]  8 Cs 3.95, 4 Hg 4.07



Below is a geometry-optimized CsAgHg3 structure, with properties calculated at the GGA-PBE level.

N(E_F) = 0.583 states/eV per cell
E_form = 191 kJ/mol of formula units
electronic total energy = -0.5260 eV/atom

a = 6.9638 Å, b = 6.9638 Å, c = 6.9638 Å
α = 90.00°, β = 90.00°, γ = 90.00°
Last column: nearest neighbours and their distance in Å.
Space group Pm-3m (No. 221)
Unique sites:
Cs: 0.0000 0.0000 0.0000 [1 per cell]  6 Hg 3.48
Ag: 0.5000 0.5000 0.5000 [1 per cell]  12 Hg 4.92
Hg: 0.0000 0.0000 0.5000 [3 per cell]  2 Cs 3.48



Below is a geometry-optimized CsAgHg4 structure, with properties calculated at the GGA-PBE level.

N(E_F) = 2.469 states/eV per cell
E_form = -20 kJ/mol of formula units
electronic total energy = -0.8525 eV/atom

a = 5.5004 Å, b = 5.5003 Å, c = 8.3703 Å
α = 90.00°, β = 90.04°, γ = 90.00°
Last column: nearest neighbours and their distance in Å.
Space group P2/m (No. 10)
Unique sites:
Cs: 0.0000 0.0000 0.0000 [1 per cell]  8 Hg 4.15
Ag: 0.5000 0.5000 0.5000 [1 per cell]  6 Hg 2.75
Hg: 0.0000 0.5000 0.5000 [1 per cell]  2 Ag 2.75
Hg: 0.5000 0.0000 0.5000 [1 per cell]  2 Ag 2.75
Hg: 0.5003 0.5000 0.1715 [2 per cell]  1 Ag 2.75, 1 Hg 2.87



Below is a geometry-optimized Cs11AgHg2 structure, with properties calculated at the GGA-PBE level.

N(E_F) = 43.419 states/eV per cell
E_form = -20 kJ/mol of formula units
electronic total energy = -0.9323 eV/atom

a = 14.2920 Å, b = 18.4390 Å, c = 19.9916 Å
α = 90.00°, β = 90.00°, γ = 90.00°
Last column: nearest neighbours and their distance in Å.
Space group Ibam (No. 72)
Unique sites:
Cs: 0.0000 0.0000 0.0000 [4 per cell]  2 Hg 3.82
Cs: 0.1131 0.2933 0.1630 [16 per cell]  1 Hg 3.98
Cs: 0.1237 0.2218 0.5000 [8 per cell]  2 Hg 3.79-4.00
Cs: 0.1957 0.4523 0.3727 [16 per cell]  1 Ag 3.82, 1 Hg 4.08
Ag: 0.0000 0.5000 0.2500 [4 per cell]  4 Cs 3.82
Hg: 0.1490 0.1721 0.0000 [8 per cell]  7 Cs 3.79-4.08



Below is a geometry-optimized Cs2AgHg structure, with properties calculated at the GGA-PBE level.

N(E_F) = 4.429 states/eV per cell
E_form = -46 kJ/mol of formula units
electronic total energy = -1.3347 eV/atom

a = 7.4452 Å, b = 5.1508 Å, c = 10.7564 Å
α = 90.00°, β = 108.26°, γ = 90.00°
Last column: nearest neighbours and their distance in Å.
Space group P2_1/m (No. 11)
Unique sites:
Cs: 0.2109 0.2500 0.4282 [2 per cell]  3 Ag 3.87-3.96, 4 Hg 3.88-4.18
Cs: 0.2820 0.7500 0.0716 [2 per cell]  4 Ag 3.88-4.17, 3 Hg 3.89-3.96
Ag: 0.1713 0.2500 0.7788 [2 per cell]  2 Hg 2.99
Hg: 0.3353 0.7500 0.7228 [2 per cell]  2 Ag 2.99



Below is a geometry-optimized Cs3Ag5Hg12 structure, with properties calculated at the GGA-PBE level.

N(E_F) = 64.123 states/eV per cell
E_form = 31 kJ/mol of formula units
electronic total energy = -1.0060 eV/atom

a = 18.4444 Å, b = 18.4444 Å, c = 18.4444 Å
α = 90.00°, β = 90.00°, γ = 90.00°
Last column: nearest neighbours and their distance in Å.
Space group Ia-3d (No. 230)
Unique sites:
Cs: 0.0000 0.2500 0.1250 [24 per cell]  4 Hg 3.82
Ag: 0.0000 0.0000 0.0000 [16 per cell]  6 Hg 2.81
Ag: 0.0000 0.2500 0.3750 [24 per cell]  4 Hg 2.78
Hg: 0.0570 0.1194 0.9244 [96 per cell]  2 Ag 2.78-2.81, 1 Hg 3.07



Below is a geometry-optimized Cs8AgHg2 structure, with properties calculated at the GGA-PBE level.

N(E_F) = 12.584 states/eV per cell
E_form = -69 kJ/mol of formula units
electronic total energy = -0.9996 eV/atom

a = 25.6916 Å, b = 6.5679 Å, c = 9.5535 Å
α = 90.00°, β = 105.42°, γ = 90.00°
Last column: nearest neighbours and their distance in Å.
Space group C2/m (No. 12)
Unique sites:
Cs: 0.0381 0.0000 0.3116 [4 per cell]  2 Ag 3.99, 1 Hg 4.13
Cs: 0.0900 0.5000 0.9242 [4 per cell]  1 Ag 4.10, 2 Hg 4.58
Cs: 0.1672 0.5000 0.4661 [4 per cell]  3 Hg 4.16-4.17, 1 Ag 4.39, 3 Cs 4.62-4.65
Cs: 0.2148 0.0000 0.8286 [4 per cell]  3 Hg 3.97-4.25
Ag: 0.0000 0.5000 0.5000 [2 per cell]  8 Cs 3.99-4.39
Hg: 0.1857 0.0000 0.2162 [4 per cell]  7 Cs 3.97-4.25



Q: Which formula does entry 7 have?
A: Cs3Ag5Hg12



Q: Which value of E_form does entry 5 give?
A: -20 kJ/mol of formula units



Q: Which value of E_form does entry 5 give?
A: -20 kJ/mol of formula units